PuThHg | GGA-PBE | relaxed

Summary:
Energy of formation (meV/atom): -56
DFT total energy (eV/atom): -7.407

a = 3.9807 Å, b = 5.1754 Å, c = 8.2168 Å
α = 90.00°, β = 104.02°, γ = 90.00°
Last column: magnetic moment on the atom in μB.
Positions (direct):
1 Hg 0.4067 0.2500 0.8134  0.01
2 Pu 0.7483 0.2500 0.4966  5.61
3 Pu 0.2517 0.7500 0.5034  5.61
4 Hg 0.5933 0.7500 0.1866  0.01
5 Th 0.9176 0.7500 0.8352  0.11
6 Th 0.0824 0.2500 0.1648  0.11

=====

Dy2ZrSc6 | GGA-PBE | relaxed

Summary:
Energy of formation (meV/atom): 56
DFT total energy (eV/atom): -6.137

a = 3.2334 Å, b = 9.6123 Å, c = 9.6123 Å
α = 56.15°, β = 109.76°, γ = 109.76°
Positions (direct):
1 Zr 0.0000 0.0000 0.0000
2 Sc 0.1744 0.6748 0.9999
3 Dy 0.3333 0.6667 0.6667
4 Sc 0.5000 0.3253 0.6747
5 Dy 0.6667 0.3332 0.3332
6 Sc 0.5000 0.6747 0.3253
7 Sc 0.8256 0.3252 0.0001
8 Sc 0.1744 0.9999 0.6748
9 Sc 0.8256 0.0001 0.3252

=====

CrGeN3 | GGA-PBE | relaxed

Summary:
DFT total energy (eV/atom): -7.036
Raw formation energy (eV per atom): 0.81

a = 3.7432 Å, b = 3.7432 Å, c = 3.7432 Å
α = 90.00°, β = 90.00°, γ = 90.00°
Positions (direct):
1 N 0.5000 0.0000 0.0000
2 Ge 0.5000 0.5000 0.5000
3 N 0.0000 0.0000 0.5000
4 N 0.0000 0.5000 0.0000
5 Cr 0.0000 0.0000 0.0000

=====

PrDyTeS | GGA-PBE | relaxed

Summary:
DFT total energy (eV/atom): -5.729
Raw formation energy (eV per atom): -1.57

a = 4.0399 Å, b = 4.0431 Å, c = 8.0097 Å
α = 90.01°, β = 104.59°, γ = 120.02°
Positions (direct):
1 Te 0.1257 0.9608 0.1017
2 S 0.4815 0.1387 0.6358
3 Pr 0.9808 0.3884 0.3838
4 Dy 0.2898 0.5428 0.8484

=====

HoPuZnPd | GGA-PBE | relaxed

Summary:
Energy of formation (meV/atom): -373
DFT total energy (eV/atom): -6.718

a = 5.0103 Å, b = 5.0103 Å, c = 5.0103 Å
α = 60.00°, β = 60.00°, γ = 60.00°
Last column: magnetic moment on the atom in μB.
Positions (direct):
1 Zn 0.7500 0.7500 0.7500  0.01
2 Pd 0.2500 0.2500 0.2500  -0.04
3 Ho 0.5000 0.5000 0.5000  0.08
4 Pu 0.0000 0.0000 0.0000  5.26

=====

HfNbP2O | GGA-PBE | relaxed

Summary:
DFT total energy (eV/atom): -7.768
Raw formation energy (eV per atom): -0.61

a = 4.9148 Å, b = 4.9148 Å, c = 3.7828 Å
α = 90.00°, β = 90.00°, γ = 90.00°
Positions (direct):
1 Hf 0.5000 0.5000 0.5000
2 O 0.0000 0.0000 0.5000
3 P 0.5000 0.0000 0.0000
4 Nb 0.0000 0.0000 0.0000
5 P 0.0000 0.5000 0.0000

=====

TiVCuPt | GGA-PBE | relaxed

Summary:
Energy of formation (meV/atom): -338
DFT total energy (eV/atom): -7.126

a = 4.3336 Å, b = 4.3336 Å, c = 4.3336 Å
α = 60.00°, β = 60.00°, γ = 60.00°
Last column: magnetic moment on the atom in μB.
Positions (direct):
1 Cu 0.0000 0.0000 0.0000  0.05
2 Pt 0.2500 0.2500 0.2500  -0.02
3 Ti 0.5000 0.5000 0.5000  0.23
4 V 0.7500 0.7500 0.7500  1.75

=====

Mg3Ag4 | GGA-PBE | relaxed

Summary:
Energy of formation (meV/atom): -156
DFT total energy (eV/atom): -2.468

a = 11.2712 Å, b = 11.2712 Å, c = 11.2712 Å
α = 162.38°, β = 162.38°, γ = 25.01°
Positions (direct):
1 Ag 0.8580 0.8580 0.0000
2 Ag 0.1420 0.1420 0.0000
3 Mg 0.7060 0.7060 0.0000
4 Ag 0.5689 0.5689 0.0000
5 Mg 0.2940 0.2940 0.0000
6 Ag 0.4311 0.4311 0.0000
7 Mg 0.0000 0.0000 0.0000

=====

KTeSeBr2 | GGA-PBE | relaxed

Summary:
DFT total energy (eV/atom): -1.834
Raw formation energy (eV per atom): 0.38

a = 5.8734 Å, b = 5.8734 Å, c = 6.2105 Å
α = 90.00°, β = 90.00°, γ = 90.00°
Last column: magnetic moment on the atom in μB.
Positions (direct):
1 Se 0.0000 0.0000 0.5000  0.26
2 K 0.0000 0.0000 0.0000  0.01
3 Br 0.0000 0.5000 0.0000  0.25
4 Br 0.5000 0.0000 0.0000  0.25
5 Te 0.5000 0.5000 0.5000  1.09

=====

RbB3Pt | GGA-PBE | relaxed

Summary:
Energy of formation (meV/atom): 1118
DFT total energy (eV/atom): -4.290

a = 4.2691 Å, b = 4.2691 Å, c = 4.2691 Å
α = 90.00°, β = 90.00°, γ = 90.00°
Positions (direct):
1 Rb 0.5000 0.5000 0.5000
2 B 0.5000 0.0000 0.0000
3 B 0.0000 0.0000 0.5000
4 Pt 0.0000 0.0000 0.0000
5 B 0.0000 0.5000 0.0000

=====

ReAg2Cl | GGA-PBE | relaxed

Summary:
DFT total energy (eV/atom): -3.738
Raw formation energy (eV per atom): 1.26

a = 4.7959 Å, b = 4.7959 Å, c = 4.7959 Å
α = 60.00°, β = 60.00°, γ = 60.00°
Last column: magnetic moment on the atom in μB.
Positions (direct):
1 Ag 0.2500 0.2500 0.2500  0.09
2 Cl 0.0000 0.0000 0.0000  0.09
3 Re 0.5000 0.5000 0.5000  3.11
4 Ag 0.7500 0.7500 0.7500  0.09

=====

PaCoSe2 | GGA-PBE | relaxed

Summary:
DFT total energy (eV/atom): -6.784
Raw formation energy (eV per atom): -0.89

a = 4.2544 Å, b = 4.2544 Å, c = 7.1523 Å
α = 72.70°, β = 72.70°, γ = 60.00°
Positions (direct):
1 Se 0.1520 0.1520 0.5439
2 Co 0.0322 0.0322 0.9033
3 Se 0.6564 0.6564 0.0309
4 Pa 0.4104 0.4104 0.7689

=====

For the records above, the corresponding magnetization values read 12.3 0.0 0.0 0.0 5.5 0.0 2.2 0.0 3.1 0.0 3.9 0.0 Bohr magnetons per cell.